Model i:
A plane-wave DFT calculation with PBE was carried out for a relaxed structure of MgHW3.

Computed properties:
N(E_F) = 1.7729 states/eV per atom

a = 4.5882 Å, b = 4.5882 Å, c = 4.5882 Å
α = 90.00°, β = 90.00°, γ = 90.00°
Sites, in units of the cell vectors:
1 Mg 0.0000 0.0000 0.0000
2 H 0.5000 0.5000 0.5000
3 W 0.0000 0.0000 0.5000
4 W 0.0000 0.5000 0.0000
5 W 0.5000 0.0000 0.0000



Model ii:
A plane-wave DFT calculation with PBE was carried out for a relaxed structure of MgHW3.

Computed properties:
N(E_F) = 0.7458 states/eV per atom

a = 4.0827 Å, b = 4.0827 Å, c = 4.0827 Å
α = 90.00°, β = 90.00°, γ = 90.00°
Sites, in units of the cell vectors:
1 Mg 0.0000 0.0000 0.0000
2 H 0.5000 0.5000 0.5000
3 W 0.0000 0.5000 0.5000
4 W 0.5000 0.0000 0.5000
5 W 0.5000 0.5000 0.0000



Stability check: which of them is most stable? model ii.



Model i:
A plane-wave DFT calculation with PBE was carried out for a relaxed structure of Mg3HW.

Computed properties:
N(E_F) = 0.6222 states/eV per atom

a = 4.2200 Å, b = 4.2200 Å, c = 4.2200 Å
α = 90.00°, β = 90.00°, γ = 90.00°
Sites, in units of the cell vectors:
1 Mg 0.0000 0.0000 0.5000
2 Mg 0.0000 0.5000 0.0000
3 Mg 0.5000 0.0000 0.0000
4 H 0.0000 0.0000 0.0000
5 W 0.5000 0.5000 0.5000



Model ii:
A plane-wave DFT calculation with PBE was carried out for a relaxed structure of Mg3HW.

Computed properties:
N(E_F) = 0.5356 states/eV per atom

a = 5.4759 Å, b = 5.4759 Å, c = 5.4759 Å
α = 90.00°, β = 90.00°, γ = 90.00°
Sites, in units of the cell vectors:
1 Mg 0.0000 0.0000 0.5000
2 Mg 0.0000 0.5000 0.0000
3 Mg 0.5000 0.0000 0.0000
4 H 0.5000 0.5000 0.5000
5 W 0.0000 0.0000 0.0000



Stability check: which of them is most stable? model i.



Model i:
A plane-wave DFT calculation with PBE was carried out for a relaxed structure of Y2MgZrH.

Computed properties:
N(E_F) = 1.6183 states/eV per atom

a = 4.8725 Å, b = 4.8725 Å, c = 4.5724 Å
α = 90.00°, β = 90.00°, γ = 90.00°
Sites, in units of the cell vectors:
1 Y 0.0000 0.5000 0.0000
2 Y 0.5000 0.0000 0.0000
3 Mg 0.0000 0.0000 0.5000
4 Zr 0.5000 0.5000 0.5000
5 H 0.5000 0.5000 0.0000



Model ii:
A plane-wave DFT calculation with PBE was carried out for a relaxed structure of Y2MgZrH.

Computed properties:
N(E_F) = 0.9947 states/eV per atom

a = 4.8054 Å, b = 4.8054 Å, c = 4.6083 Å
α = 90.00°, β = 90.00°, γ = 90.00°
Sites, in units of the cell vectors:
1 Y 0.0000 0.5000 0.0000
2 Y 0.5000 0.0000 0.0000
3 Mg 0.0000 0.0000 0.5000
4 Zr 0.5000 0.5000 0.5000
5 H 0.0000 0.0000 0.0000



Stability check: which of them is most stable? model i.



Model i:
A plane-wave DFT calculation with PBE was carried out for a relaxed structure of YMgZr2H.

Computed properties:
N(E_F) = 0.7366 states/eV per atom

a = 4.5598 Å, b = 4.5598 Å, c = 4.7118 Å
α = 90.00°, β = 90.00°, γ = 90.00°
Sites, in units of the cell vectors:
1 Y 0.0000 0.0000 0.0000
2 Mg 0.5000 0.5000 0.0000
3 Zr 0.0000 0.5000 0.5000
4 Zr 0.5000 0.0000 0.5000
5 H 0.5000 0.5000 0.5000



Model ii:
A plane-wave DFT calculation with PBE was carried out for a relaxed structure of YMgZr2H.

Computed properties:
N(E_F) = 1.1102 states/eV per atom

a = 4.5508 Å, b = 4.5508 Å, c = 4.7441 Å
α = 90.00°, β = 90.00°, γ = 90.00°
Sites, in units of the cell vectors:
1 Y 0.0000 0.0000 0.0000
2 Mg 0.5000 0.5000 0.0000
3 Zr 0.0000 0.5000 0.5000
4 Zr 0.5000 0.0000 0.5000
5 H 0.0000 0.0000 0.5000



Stability check: which of them is most stable? model ii.



Model i:
A plane-wave DFT calculation with PBE was carried out for a relaxed structure of Mg2ZnH2.

Computed properties:
N(E_F) = 0.2157 states/eV per atom

a = 6.6641 Å, b = 6.6641 Å, c = 6.6641 Å
α = 152.18°, β = 152.18°, γ = 39.76°
Sites, in units of the cell vectors:
1 Mg 0.1558 0.1558 0.0000
2 Mg 0.8442 0.8442 0.0000
3 Zn 0.5000 0.5000 0.0000
4 H 0.2500 0.7500 0.5000
5 H 0.7500 0.2500 0.5000



Model ii:
A plane-wave DFT calculation with PBE was carried out for a relaxed structure of Mg2ZnH2.

Computed properties:
N(E_F) = 0.3025 states/eV per atom

a = 6.5981 Å, b = 6.5981 Å, c = 2.8686 Å
α = 90.00°, β = 90.00°, γ = 90.00°
Sites, in units of the cell vectors:
1 Mg 0.1637 0.3363 0.0000
2 Mg 0.3363 0.8363 0.0000
3 Mg 0.6637 0.1637 0.0000
4 Mg 0.8363 0.6637 0.0000
5 Zn 0.0000 0.0000 0.5000
6 Zn 0.5000 0.5000 0.5000
7 H 0.1215 0.6215 0.5000
8 H 0.3785 0.1215 0.5000
9 H 0.6215 0.8785 0.5000
10 H 0.8785 0.3785 0.5000



Stability check: which of them is most stable? model i.



Model i:
A plane-wave DFT calculation with PBE was carried out for a relaxed structure of MgZn2H.

Computed properties:
N(E_F) = 0.3532 states/eV per atom

a = 6.6978 Å, b = 6.6978 Å, c = 6.6978 Å
α = 138.14°, β = 138.14°, γ = 60.69°
Sites, in units of the cell vectors:
1 Mg 0.0000 0.0000 0.0000
2 Mg 0.7500 0.2500 0.5000
3 Zn 0.3562 0.6250 0.2312
4 Zn 0.3750 0.6062 0.7312
5 Zn 0.3938 0.1250 0.7688
6 Zn 0.8750 0.6438 0.2688
7 H 0.2500 0.7500 0.5000
8 H 0.5000 0.5000 0.0000



Model ii:
A plane-wave DFT calculation with PBE was carried out for a relaxed structure of MgZn2H.

Computed properties:
N(E_F) = 0.3570 states/eV per atom

a = 4.4568 Å, b = 4.4568 Å, c = 4.4568 Å
α = 60.00°, β = 60.00°, γ = 60.00°
Sites, in units of the cell vectors:
1 Mg 0.0000 0.0000 0.0000
2 Zn 0.2500 0.2500 0.2500
3 Zn 0.7500 0.7500 0.7500
4 H 0.5000 0.5000 0.5000



Stability check: which of them is most stable? model i.



Model i:
A plane-wave DFT calculation with PBE was carried out for a relaxed structure of Mg2ZnH.

Computed properties:
N(E_F) = 0.2120 states/eV per atom

a = 7.0205 Å, b = 7.0205 Å, c = 7.0205 Å
α = 26.46°, β = 26.46°, γ = 26.46°
Sites, in units of the cell vectors:
1 Mg 0.2310 0.2310 0.2310
2 Mg 0.7690 0.7690 0.7690
3 Zn 0.0000 0.0000 0.0000
4 H 0.5000 0.5000 0.5000



Model ii:
A plane-wave DFT calculation with PBE was carried out for a relaxed structure of Mg2ZnH.

Computed properties:
N(E_F) = 0.3061 states/eV per atom

a = 5.5190 Å, b = 5.5190 Å, c = 5.5190 Å
α = 111.30°, β = 111.30°, γ = 105.87°
Sites, in units of the cell vectors:
1 Mg 0.0302 0.1250 0.4052
2 Mg 0.3750 0.9698 0.0948
3 Mg 0.7198 0.6250 0.5948
4 Mg 0.8750 0.2802 0.9052
5 Zn 0.2500 0.7500 0.5000
6 Zn 0.5000 0.5000 0.0000
7 H 0.0000 0.0000 0.0000
8 H 0.7500 0.2500 0.5000



Stability check: which of them is most stable? model i.



Model i:
A plane-wave DFT calculation with PBE was carried out for a relaxed structure of Mg3ZnH.

Computed properties:
N(E_F) = 0.6640 states/eV per atom

a = 5.0286 Å, b = 5.0286 Å, c = 5.0286 Å
α = 90.00°, β = 90.00°, γ = 90.00°
Sites, in units of the cell vectors:
1 Mg 0.0000 0.0000 0.5000
2 Mg 0.0000 0.5000 0.0000
3 Mg 0.5000 0.0000 0.0000
4 Zn 0.0000 0.0000 0.0000
5 H 0.5000 0.5000 0.5000



Model ii:
A plane-wave DFT calculation with PBE was carried out for a relaxed structure of Mg3ZnH.

Computed properties:
N(E_F) = 0.3762 states/eV per atom

a = 4.3392 Å, b = 4.3392 Å, c = 4.3392 Å
α = 90.00°, β = 90.00°, γ = 90.00°
Sites, in units of the cell vectors:
1 Mg 0.0000 0.0000 0.5000
2 Mg 0.0000 0.5000 0.0000
3 Mg 0.5000 0.0000 0.0000
4 Zn 0.5000 0.5000 0.5000
5 H 0.0000 0.0000 0.0000



Stability check: which of them is most stable? model ii.